A plane-wave DFT calculation with GGA+U was carried out for an optimized crystal structure of Mn2Zn2F7.

Values from the calculation:
volume	139.8	Å³/f.u.
ΔE to the lowest computed polymorph	0	meV/atom
DFT total energy	-109.98	eV per cell
SG	Fd-3m (227)
M_tot	10.00	μB per formula unit

a b c (Å): 7.3405 7.3405 7.3405
angles (deg): 60.00 60.00 60.00
Fractional positions:
Mn1 0.0000 0.0000 0.0000
Mn2 0.0000 0.0000 0.5000
Mn3 0.0000 0.5000 0.0000
Mn4 0.5000 0.0000 0.0000
Zn1 0.0000 0.5000 0.5000
Zn2 0.5000 0.0000 0.5000
Zn3 0.5000 0.5000 0.0000
Zn4 0.5000 0.5000 0.5000
F1 0.1250 0.1250 0.1250
F2 0.1376 0.1376 0.6124
F3 0.1376 0.6124 0.1376
F4 0.1376 0.6124 0.6124
F5 0.3876 0.3876 0.8624
F6 0.3876 0.8624 0.3876
F7 0.3876 0.8624 0.8624
F8 0.6124 0.1376 0.1376
F9 0.6124 0.1376 0.6124
F10 0.6124 0.6124 0.1376
F11 0.8624 0.3876 0.3876
F12 0.8624 0.3876 0.8624
F13 0.8624 0.8624 0.3876
F14 0.8750 0.8750 0.8750

***

A plane-wave DFT calculation with GGA+U was carried out for an optimized crystal structure of MnZn3F6.

Values from the calculation:
volume	156.3	Å³/f.u.
ΔE to the lowest computed polymorph	0	meV/atom
DFT total energy	-41.61	eV per cell
SG	P-1 (2)
M_tot	4.96	μB per formula unit

a b c (Å): 4.9903 5.2135 6.1877
angles (deg): 89.74 89.21 76.24
Fractional positions:
Mn1 0.0000 0.0000 0.0000
Zn1 0.0000 0.0000 0.5000
Zn2 0.0000 0.5000 0.5000
Zn3 0.5000 0.5000 0.0000
F1 0.2413 0.2915 0.0031
F2 0.2500 0.7938 0.2498
F3 0.2497 0.8024 0.7422
F4 0.7503 0.1976 0.2578
F5 0.7500 0.2062 0.7502
F6 0.7587 0.7085 0.9969

***

A plane-wave DFT calculation with GGA+U was carried out for an optimized crystal structure of MnZnF2.

Values from the calculation:
volume	55.2	Å³/f.u.
ΔE to the lowest computed polymorph	557	meV/atom
DFT total energy	-17.22	eV per cell
SG	Fm-3m (225)
M_tot	5.00	μB per formula unit

a b c (Å): 4.2734 4.2734 4.2734
angles (deg): 60.00 60.00 60.00
Fractional positions:
Mn1 0.0000 0.0000 0.0000
Zn1 0.5000 0.5000 0.5000
F1 0.2500 0.2500 0.2500
F2 0.7500 0.7500 0.7500

***

A plane-wave DFT calculation with GGA+U was carried out for an optimized crystal structure of Mn3ZnF8.

Values from the calculation:
volume	182.6	Å³/f.u.
DFT total energy	-69.10	eV per cell
SG	C222 (21)
M_tot	15.00	μB per formula unit

a b c (Å): 5.8170 5.8170 6.3267
angles (deg): 90.00 90.00 121.49
Fractional positions:
Mn1 0.0000 0.0000 0.0000
Mn2 0.0000 0.5000 0.7468
Mn3 0.5000 0.0000 0.2532
Zn1 0.0000 0.0000 0.5000
F1 0.1989 0.2711 0.7424
F2 0.2071 0.7929 0.5000
F3 0.2129 0.7871 0.0000
F4 0.2711 0.1989 0.2576
F5 0.7289 0.8011 0.2576
F6 0.7871 0.2129 0.0000
F7 0.7929 0.2071 0.5000
F8 0.8011 0.7289 0.7424